[1]
ErGa | meta-GGA SCAN | single point on PBEsol structure

a b c (Å): 4.233 10.636 3.962
angles (deg): 90.00 90.00 90.00
Atoms (fractional coordinates):
Er 0.000 0.140 0.250
Er 0.000 0.860 0.750
Er 0.500 0.360 0.750
Er 0.500 0.640 0.250
Ga 0.000 0.423 0.250
Ga 0.000 0.577 0.750
Ga 0.500 0.077 0.750
Ga 0.500 0.923 0.250

## Properties
Its formation enthalpy at 0 K is -0.728 eV/atom. The calculation puts the calculated total energy at -34.072 eV/atom. As for the total moment: 0.73 μB per cell.

---

[2]
Er2Ga9Ir3 | meta-GGA SCAN | single point on PBEsol structure

a b c (Å): 7.454 7.454 9.345
angles (deg): 90.00 90.00 60.18
Atoms (fractional coordinates):
Er 0.003 0.670 0.750
Er 0.330 0.997 0.750
Er 0.670 0.003 0.250
Er 0.997 0.330 0.250
Ga 0.000 0.335 0.581
Ga 0.000 0.335 0.919
Ga 0.000 0.665 0.081
Ga 0.000 0.665 0.419
Ga 0.129 0.871 0.250
Ga 0.332 0.668 0.568
Ga 0.332 0.668 0.932
Ga 0.335 0.000 0.081
Ga 0.335 0.000 0.419
Ga 0.339 0.453 0.250
Ga 0.453 0.339 0.750
Ga 0.547 0.661 0.250
Ga 0.661 0.547 0.750
Ga 0.665 0.000 0.581
Ga 0.665 0.000 0.919
Ga 0.668 0.332 0.068
Ga 0.668 0.332 0.432
Ga 0.871 0.129 0.750
Ir 0.000 0.000 0.000
Ir 0.000 0.000 0.500
Ir 0.328 0.328 0.000
Ir 0.328 0.328 0.500
Ir 0.672 0.672 0.000
Ir 0.672 0.672 0.500

## Properties
Its formation enthalpy at 0 K is -0.797 eV/atom. The calculation puts the calculated total energy at -33.732 eV/atom. As for the total moment: 0.00 μB per cell.

---

> What is the formation enthalpy at 0 K in the second record?

-0.797 eV/atom

---

> Which formula does entry 1 have?

ErGa